The following is a DFT calculation (PBE-GGA) of crystalline Ba2CaTa at its relaxed geometry.

Cell lengths 5.9869, 5.9869, 5.9869 Å; angles 120.17, 120.17, 89.71 degrees
Last column: nearest neighbours and their distance in Å.
Positions (direct):
Ba1 0.0000 0.0000 0.0000  4 Ba 3.66, 4 Ca 3.66
Ba2 0.7500 0.2500 0.5000  4 Ba 3.66, 4 Ta 3.66
Ca1 0.2500 0.7500 0.5000  4 Ba 3.66, 4 Ta 3.66
Ta1 0.5000 0.5000 0.0000  4 Ba 3.66, 4 Ca 3.66

Calculated values
The value obtained for the formation energy is 0.925 eV per atom. For the uncorrected energy, the calculation gives -14.0 eV/f.u. The energy relative to the lowest polymorph listed for this composition comes out at 11.7 kJ per mole of atoms.